1.
Entry from Alexandria via LeMat-Bulk: an optimized crystal structure of ZnReMo2 (GGA-PBE).

```
ZnReMo2
1.0
2.6349 0.0000 0.0000
0.0000 4.3145 0.0000
0.0000 0.0000 5.3996
Re Mo Zn
1 2 1
direct
0.0000 0.0000 0.5041
0.5000 0.5000 0.2551
0.0000 0.0000 0.9890
0.5000 0.5000 0.7518
```

- Energy of formation from the pure elements: 23 kJ/mol of atoms


2.
Entry from Alexandria via LeMat-Bulk: an optimized crystal structure of CrPt2Cl (GGA-PBE).

```
CrPt2Cl
1.0
-0.9348 -2.8375 4.3674
-2.4023 -2.0628 -1.8544
2.6970 -2.3103 -0.9238
Pt Cl Cr
2 1 1
direct
0.0000 0.5000 0.5000
0.0000 0.0000 0.0000
0.5000 0.5000 0.0000
0.5000 0.0000 0.5000
```

- Energy above the most stable polymorph in this dataset: 393 meV per atom
- Raw formation energy: 0.3734 eV per atom


3.
Entry from Alexandria via LeMat-Bulk: an optimized crystal structure of KTa2 (GGA-PBE).

```
KTa2
1.0
-1.2587 1.5076 -1.7960
-2.4291 -4.5933 -2.1534
-6.8760 0.9882 5.6483
Ta K
4 2
direct
0.2399 0.0000 0.6563
0.7399 0.5000 0.8437
0.7601 0.0000 0.3437
0.2601 0.5000 0.1563
0.5000 0.5000 0.5000
0.0000 0.0000 0.0000
```

- Energy of formation from the pure elements: 133 kJ/mol of atoms
- Energy above the most stable polymorph in this dataset: 826 meV per atom


4.
Entry from Alexandria via LeMat-Bulk: an optimized crystal structure of Li2NpTlCl8 (GGA-PBE).

```
Li2NpTlCl8
1.0
6.3116 0.6324 -0.0057
0.6915 6.2983 -0.0067
0.0085 0.0104 9.3506
Li Cl Tl Np
2 8 1 1
direct
0.5003 0.5002 0.3414
0.4997 0.4998 0.6586
0.6786 0.6800 0.5003
0.7785 0.2254 0.8031
0.7473 0.7523 0.9999
0.2527 0.2477 0.0001
0.2217 0.7748 0.8031
0.7783 0.2252 0.1969
0.3214 0.3200 0.4997
0.2215 0.7746 0.1969
0.0000 0.0000 0.5000
0.0000 0.0000 0.0000
```

- Raw formation energy: -1.4571 eV per atom


5.
Entry from Alexandria via LeMat-Bulk: an optimized crystal structure of ZnNi2Sb3 (GGA-PBE).

```
ZnNi2Sb3
1.0
0.5654 0.9338 4.0341
-3.3022 -2.2760 -1.1751
4.1706 -6.5296 0.9269
Zn Ni Sb
1 2 3
direct
0.0000 0.0000 0.0000
0.6667 0.3333 0.0799
0.3333 0.6667 0.9201
0.0000 0.0000 0.5000
0.6667 0.3333 0.7485
0.3333 0.6667 0.2515
```

- Raw formation energy: -0.0453 eV per atom


6.
Entry from Alexandria via LeMat-Bulk: an optimized crystal structure of YTiGa2Ni5 (GGA-PBE).

```
YTiGa2Ni5
1.0
3.7965 0.0000 0.0000
0.0000 3.7965 0.0000
0.0000 0.0000 9.0865
Ga Ni Y Ti
2 5 1 1
direct
0.5000 0.5000 0.8691
0.5000 0.5000 0.1309
0.5000 0.0000 0.2790
0.5000 0.5000 0.5000
0.0000 0.5000 0.2790
0.0000 0.5000 0.7210
0.5000 0.0000 0.7210
0.0000 0.0000 0.5000
0.0000 0.0000 0.0000
```

- Energy of formation from the pure elements: -19 kJ/mol of atoms